Entry 1:
DFT (GGA-PBEsol) results for crystalline Tb5In4Ni2 at its relaxed geometry.

Cell lengths 7.8405, 17.7284, 3.5693 Å; angles 90.00, 90.00, 90.00 degrees
Space group Pbam (No. 55)
One atom of each set of equivalent atoms:
Tb: 0.0000 0.0000 0.0000 (multiplicity 2)
Tb: 0.1177 0.4130 0.0000 (multiplicity 4)
Tb: 0.2482 0.2224 0.0000 (multiplicity 4)
In: 0.0689 0.8481 0.5000 (multiplicity 4)
In: 0.2072 0.5705 0.5000 (multiplicity 4)
Ni: 0.0262 0.3046 0.5000 (multiplicity 4)

Properties
The energy of formation is -560 meV/atom.

=====

Entry 2:
DFT (GGA-PBEsol) results for crystalline Tb2InNi2 at its relaxed geometry.

Cell lengths 7.2825, 7.2825, 3.6110 Å; angles 90.00, 90.00, 90.00 degrees
Space group P4/mbm (No. 127)
One atom of each set of equivalent atoms:
Tb: 0.1753 0.3247 0.0000 (multiplicity 4)
In: 0.0000 0.0000 0.5000 (multiplicity 2)
Ni: 0.1192 0.6192 0.5000 (multiplicity 4)

Properties
The energy of formation is -524 meV/atom.

=====

Entry 3:
DFT (GGA-PBEsol) results for crystalline Tb2InNi2 at its relaxed geometry.

Cell lengths 3.8867, 14.0374, 3.6046 Å; angles 90.00, 90.00, 90.00 degrees
Space group Cmmm (No. 65)
One atom of each set of equivalent atoms:
Tb: 0.0000 0.1381 0.0000 (multiplicity 4)
In: 0.0000 0.5000 0.5000 (multiplicity 2)
Ni: 0.0000 0.3007 0.5000 (multiplicity 4)

Properties
The energy of formation is -541 meV/atom.

=====

Entry 4:
DFT (GGA-PBEsol) results for crystalline InTc2Ni at its relaxed geometry.

Cell lengths 6.1416, 6.1416, 6.1416 Å; angles 90.00, 90.00, 90.00 degrees
Space group F-43m (No. 216)
One atom of each set of equivalent atoms:
In: 0.0000 0.0000 0.0000 (multiplicity 4)
Tc: 0.0000 0.0000 0.5000 (multiplicity 4)
Tc: 0.2500 0.2500 0.2500 (multiplicity 4)
Ni: 0.2500 0.2500 0.7500 (multiplicity 4)

Properties
The energy of formation is 269 meV/atom.

=====

Entry 5:
DFT (GGA-PBEsol) results for crystalline InTcNi6 at its relaxed geometry.

Cell lengths 7.2231, 10.2230, 10.2349 Å; angles 90.00, 90.00, 90.00 degrees
Space group Cmmm (No. 65)
One atom of each set of equivalent atoms:
In: 0.0000 0.0000 0.2480 (multiplicity 4)
In: 0.0000 0.2465 0.5000 (multiplicity 4)
Tc: 0.0000 0.2476 0.0000 (multiplicity 4)
Tc: 0.0000 0.5000 0.2516 (multiplicity 4)
Ni: 0.0000 0.0000 0.0000 (multiplicity 2)
Ni: 0.0000 0.0000 0.5000 (multiplicity 2)
Ni: 0.0000 0.2561 0.2403 (multiplicity 8)
Ni: 0.0000 0.5000 0.0000 (multiplicity 2)
Ni: 0.0000 0.5000 0.5000 (multiplicity 2)
Ni: 0.2414 0.3775 0.3692 (multiplicity 16)
Ni: 0.2422 0.3719 0.1202 (multiplicity 16)

Properties
The energy of formation is -14 meV/atom.

=====

Entry 6:
DFT (GGA-PBEsol) results for crystalline In2NiTe at its relaxed geometry.

Cell lengths 3.2660, 4.2251, 12.7944 Å; angles 90.00, 90.00, 90.00 degrees
Space group Immm (No. 71)
One atom of each set of equivalent atoms:
In: 0.0000 0.0000 0.1815 (multiplicity 4)
Ni: 0.0000 0.5000 0.5000 (multiplicity 2)
Te: 0.0000 0.5000 0.0000 (multiplicity 2)

Properties
The formation energy (no corrections) comes out at 0.01 eV per atom.